Here is FeAs2SeS after structural relaxation from Alexandria. Energies are from PBE.

```
data_FeAs2SeS
_chemical_formula_sum 'Fe1 As2 Se1 S1'
_symmetry_space_group_name_H-M 'P 4/m m m'
_symmetry_Int_Tables_number 123
_symmetry_space_group_name_Hall '-P 4 2'
_cell_length_a 4.7400
_cell_length_b 4.7400
_cell_length_c 4.6780
_cell_angle_alpha 90.00
_cell_angle_beta 90.00
_cell_angle_gamma 90.00
loop_
_atom_site_label
_atom_site_type_symbol
_atom_site_fract_x
_atom_site_fract_y
_atom_site_fract_z
Fe1 Fe 0.0000 0.0000 0.0000
As1 As 0.0000 0.5000 0.5000
Se1 Se 0.5000 0.5000 0.0000
S1 S 0.5000 0.5000 0.5000
```

Results
- formation energy from raw total energies (eV/atom) = 1.26
- M_tot (μB/f.u.) = 0.10
- relative energy among the computed polymorphs (eV per atom) = 0.729
- D(E_F) (states/eV per atom) = 1.1398

Here is PmPr2Sm2Dy after structural relaxation from Alexandria. Energies are from PBE.

```
data_PmPr2Sm2Dy
_chemical_formula_sum 'Pm2 Pr4 Sm4 Dy2'
_symmetry_space_group_name_H-M 'P m c 21'
_symmetry_Int_Tables_number 26
_symmetry_space_group_name_Hall 'P 2c -2'
_cell_length_a 5.7694
_cell_length_b 9.9889
_cell_length_c 7.0970
_cell_angle_alpha 90.00
_cell_angle_beta 90.00
_cell_angle_gamma 90.00
loop_
_atom_site_label
_atom_site_type_symbol
_atom_site_fract_x
_atom_site_fract_y
_atom_site_fract_z
Pm1 Pm 0.0000 0.9998 0.0000
Pr1 Pr 0.0000 0.3283 0.2493
Pr2 Pr 0.5000 0.5002 0.9995
Sm1 Sm 0.0000 0.3352 0.7495
Sm2 Sm 0.5000 0.1680 0.2500
Dy1 Dy 0.5000 0.1633 0.7502
```

Results
- M_tot (μB/f.u.) = 0.00
- D(E_F) (states/eV per atom) = 1.4234

Here is LaCoRe2 after structural relaxation from Alexandria. Energies are from PBE.

```
data_LaCoRe2
_chemical_formula_sum 'La1 Co1 Re2'
_symmetry_space_group_name_H-M 'P 4/m m m'
_symmetry_Int_Tables_number 123
_symmetry_space_group_name_Hall '-P 4 2'
_cell_length_a 3.7529
_cell_length_b 3.7529
_cell_length_c 5.0837
_cell_angle_alpha 90.00
_cell_angle_beta 90.00
_cell_angle_gamma 90.00
loop_
_atom_site_label
_atom_site_type_symbol
_atom_site_fract_x
_atom_site_fract_y
_atom_site_fract_z
La1 La 0.0000 0.0000 0.0000
Co1 Co 0.5000 0.5000 0.0000
Re1 Re 0.0000 0.5000 0.5000
```

Results
- M_tot (μB/f.u.) = 0.00
- relative energy among the computed polymorphs (eV per atom) = 0.536
- D(E_F) (states/eV per atom) = 1.0778

Here is TcAuN2F after structural relaxation from Alexandria. Energies are from PBE.

```
data_TcAuN2F
_chemical_formula_sum 'Tc1 Au1 N2 F1'
_symmetry_space_group_name_H-M 'P 4/m m m'
_symmetry_Int_Tables_number 123
_symmetry_space_group_name_Hall '-P 4 2'
_cell_length_a 3.9904
_cell_length_b 3.9904
_cell_length_c 4.6400
_cell_angle_alpha 90.00
_cell_angle_beta 90.00
_cell_angle_gamma 90.00
loop_
_atom_site_label
_atom_site_type_symbol
_atom_site_fract_x
_atom_site_fract_y
_atom_site_fract_z
Tc1 Tc 0.0000 0.0000 0.0000
Au1 Au 0.5000 0.5000 0.5000
N1 N 0.0000 0.5000 0.5000
F1 F 0.5000 0.5000 0.0000
```

Results
- formation energy from raw total energies (eV/atom) = 1.68
- M_tot (μB/f.u.) = 2.90
- relative energy among the computed polymorphs (eV per atom) = 1.281
- D(E_F) (states/eV per atom) = 0.3489

Here is GeBRh2 after structural relaxation from Alexandria. Energies are from PBE.

```
data_GeBRh2
_chemical_formula_sum 'Ge4 B4 Rh8'
_symmetry_space_group_name_H-M 'I -4 2 d'
_symmetry_Int_Tables_number 122
_symmetry_space_group_name_Hall 'I -4 2bw'
_cell_length_a 5.1664
_cell_length_b 5.1664
_cell_length_c 9.7195
_cell_angle_alpha 90.00
_cell_angle_beta 90.00
_cell_angle_gamma 90.00
loop_
_atom_site_label
_atom_site_type_symbol
_atom_site_fract_x
_atom_site_fract_y
_atom_site_fract_z
Ge1 Ge 0.0000 0.0000 0.0000
B1 B 0.0000 0.0000 0.5000
Rh1 Rh 0.1822 0.2500 0.6250
```

Results
- M_tot (μB/f.u.) = 0.00
- relative energy among the computed polymorphs (eV per atom) = 0.317
- D(E_F) (states/eV per atom) = 0.6072

Here is CoRuSe2 after structural relaxation from Alexandria. Energies are from PBE.

```
data_CoRuSe2
_chemical_formula_sum 'Co1 Ru1 Se2'
_symmetry_space_group_name_H-M 'P 1 m 1'
_symmetry_Int_Tables_number 6
_symmetry_space_group_name_Hall 'P -2y'
_cell_length_a 3.8178
_cell_length_b 3.8172
_cell_length_c 5.8456
_cell_angle_alpha 90.00
_cell_angle_beta 90.19
_cell_angle_gamma 90.00
loop_
_atom_site_label
_atom_site_type_symbol
_atom_site_fract_x
_atom_site_fract_y
_atom_site_fract_z
Co1 Co 0.0000 0.0000 0.0000
Ru1 Ru 0.5001 0.5000 0.0000
Se1 Se 0.0013 0.5000 0.2438
Se2 Se 0.4988 0.0000 0.7562
```

Results
- formation energy from raw total energies (eV/atom) = -0.26
- M_tot (μB/f.u.) = 0.00
- relative energy among the computed polymorphs (eV per atom) = 0.000
- D(E_F) (states/eV per atom) = 0.3375

| no. | calculated total energy (eV for the cell shown) |
| --- | --- |
| 1 | -19.08 |
| 2 | -56.01 |
| 3 | -34.12 |
| 4 | -23.77 |
| 5 | -104.39 |
| 6 | -24.41 |